No. 1
Material: SrAl
Method: DFT, PBE
State: optimized geometry

Results
As for the energy of formation: 0.14 eV per atom. Its total energy is -20.5 eV per cell.

Structure (CIF):
```
data_SrAl
_chemical_formula_sum 'Sr4 Al4'
_cell_length_a 6.606
_cell_length_b 6.606
_cell_length_c 6.592
_cell_angle_alpha 90.00
_cell_angle_beta 90.00
_cell_angle_gamma 90.00
_symmetry_space_group_name_H-M 'P 42/m n m'
_symmetry_Int_Tables_number 136
_symmetry_space_group_name_Hall '-P 4n 2n'
loop_
_atom_site_label
_atom_site_type_symbol
_atom_site_fract_x
_atom_site_fract_y
_atom_site_fract_z
Sr1 Sr 0.184 0.184 0.000
Al1 Al 0.140 0.140 0.500
```

No. 2
Material: Sr3Al4
Method: DFT, PBE
State: optimized geometry

Results
As for the energy of formation: -0.19 eV per atom. Its total energy is -42.7 eV per cell. Its energy above the lowest structure with this stoichiometry is 0.000 eV per atom.

Structure (CIF):
```
data_Sr3Al4
_chemical_formula_sum 'Sr6 Al8'
_cell_length_a 4.531
_cell_length_b 4.800
_cell_length_c 20.100
_cell_angle_alpha 90.00
_cell_angle_beta 90.00
_cell_angle_gamma 90.00
_symmetry_space_group_name_H-M 'I m m m'
_symmetry_Int_Tables_number 71
_symmetry_space_group_name_Hall '-I 2 2'
loop_
_atom_site_label
_atom_site_type_symbol
_atom_site_fract_x
_atom_site_fract_y
_atom_site_fract_z
Sr1 Sr 0.000 0.000 0.000
Sr2 Sr 0.000 0.500 0.315
Al1 Al 0.000 0.000 0.435
Al2 Al 0.000 0.500 0.133
```

No. 3
Material: Sr3Al11
Method: DFT, PBE
State: optimized geometry

Results
As for the energy of formation: -0.19 eV per atom. Its total energy is -97.7 eV per cell.

Structure (CIF):
```
data_Sr3Al11
_chemical_formula_sum 'Sr6 Al22'
_cell_length_a 4.489
_cell_length_b 10.342
_cell_length_c 13.244
_cell_angle_alpha 90.00
_cell_angle_beta 90.00
_cell_angle_gamma 90.00
_symmetry_space_group_name_H-M 'I m m m'
_symmetry_Int_Tables_number 71
_symmetry_space_group_name_Hall '-I 2 2'
loop_
_atom_site_label
_atom_site_type_symbol
_atom_site_fract_x
_atom_site_fract_y
_atom_site_fract_z
Sr1 Sr 0.000 0.000 0.000
Sr2 Sr 0.000 0.000 0.312
Al1 Al 0.000 0.211 0.500
Al2 Al 0.000 0.276 0.139
Al3 Al 0.000 0.367 0.338
Al4 Al 0.000 0.500 0.000
```

No. 4
Material: Sr4Al3
Method: DFT, PBE
State: optimized geometry

Results
As for the energy of formation: 0.05 eV per atom. Its total energy is -17.6 eV per cell.

Structure (CIF):
```
data_Sr4Al3
_chemical_formula_sum 'Sr4 Al3'
_cell_length_a 6.1542
_cell_length_b 6.1542
_cell_length_c 6.9854
_cell_angle_alpha 90.00
_cell_angle_beta 90.00
_cell_angle_gamma 120.00
_symmetry_space_group_name_H-M 'P 6/m m m'
_symmetry_Int_Tables_number 191
_symmetry_space_group_name_Hall '-P 6 2'
loop_
_atom_site_label
_atom_site_type_symbol
_atom_site_fract_x
_atom_site_fract_y
_atom_site_fract_z
Sr1 Sr 0.0000 0.0000 0.2282
Sr2 Sr 0.3333 0.6667 0.5000
Al1 Al 0.0000 0.5000 0.0000
```

No. 5
Material: SrAl3
Method: DFT, PBE
State: optimized geometry

Results
As for the energy of formation: -0.16 eV per atom. Its total energy is -27.1 eV per cell.

Structure (CIF):
```
data_SrAl3
_chemical_formula_sum 'Sr2 Al6'
_cell_length_a 5.795
_cell_length_b 4.269
_cell_length_c 7.681
_cell_angle_alpha 90.00
_cell_angle_beta 90.00
_cell_angle_gamma 90.00
_symmetry_space_group_name_H-M 'P m m a'
_symmetry_Int_Tables_number 51
_symmetry_space_group_name_Hall '-P 2a 2a'
loop_
_atom_site_label
_atom_site_type_symbol
_atom_site_fract_x
_atom_site_fract_y
_atom_site_fract_z
Sr1 Sr 0.250 0.000 0.175
Al1 Al 0.000 0.500 0.500
Al2 Al 0.250 0.000 0.608
Al3 Al 0.250 0.500 0.824
```

No. 6
Material: SrAl3
Method: DFT, PBE
State: optimized geometry

Results
As for the energy of formation: -0.12 eV per atom. Its total energy is -26.8 eV per cell.

Structure (CIF):
```
data_SrAl3
_chemical_formula_sum 'Sr2 Al6'
_cell_length_a 7.684
_cell_length_b 4.544
_cell_length_c 6.327
_cell_angle_alpha 90.00
_cell_angle_beta 114.43
_cell_angle_gamma 90.00
_symmetry_space_group_name_H-M 'C 1 2/m 1'
_symmetry_Int_Tables_number 12
_symmetry_space_group_name_Hall '-C 2y'
loop_
_atom_site_label
_atom_site_type_symbol
_atom_site_fract_x
_atom_site_fract_y
_atom_site_fract_z
Sr1 Sr 0.000 0.000 0.000
Al1 Al 0.000 0.500 0.500
Al2 Al 0.207 0.000 0.623
```

No. 7
Material: SrAl
Method: DFT, PBE
State: optimized geometry

Results
As for the energy of formation: 0.11 eV per atom. Its total energy is -20.9 eV per cell.

Structure (CIF):
```
data_SrAl
_chemical_formula_sum 'Sr4 Al4'
_cell_length_a 6.385
_cell_length_b 6.385
_cell_length_c 6.385
_cell_angle_alpha 90.00
_cell_angle_beta 90.00
_cell_angle_gamma 90.00
_symmetry_space_group_name_H-M 'P 21 3'
_symmetry_Int_Tables_number 198
_symmetry_space_group_name_Hall 'P 2ac 2ab 3'
loop_
_atom_site_label
_atom_site_type_symbol
_atom_site_fract_x
_atom_site_fract_y
_atom_site_fract_z
Sr1 Sr 0.082 0.082 0.082
Al1 Al 0.096 0.596 0.904
```

No. 8
Material: SrAl3
Method: DFT, PBE
State: optimized geometry

Results
As for the energy of formation: 0.15 eV per atom. Its total energy is -24.6 eV per cell.

Structure (CIF):
```
data_SrAl3
_chemical_formula_sum 'Sr2 Al6'
_cell_length_a 3.070
_cell_length_b 10.590
_cell_length_c 5.756
_cell_angle_alpha 90.00
_cell_angle_beta 90.00
_cell_angle_gamma 90.00
_symmetry_space_group_name_H-M 'I m m 2'
_symmetry_Int_Tables_number 44
_symmetry_space_group_name_Hall 'I 2 -2'
loop_
_atom_site_label
_atom_site_type_symbol
_atom_site_fract_x
_atom_site_fract_y
_atom_site_fract_z
Sr1 Sr 0.000 0.000 0.000
Al1 Al 0.000 0.219 0.438
Al2 Al 0.000 0.500 0.005
```

No. 9
Material: SrAl6
Method: DFT, PBE
State: optimized geometry

Results
As for the energy of formation: 0.29 eV per atom. Its total energy is -44.2 eV per cell.

Structure (CIF):
```
data_SrAl6
_chemical_formula_sum 'Sr2 Al12'
_cell_length_a 7.289
_cell_length_b 7.289
_cell_length_c 7.289
_cell_angle_alpha 90.00
_cell_angle_beta 90.00
_cell_angle_gamma 90.00
_symmetry_space_group_name_H-M 'I m -3 m'
_symmetry_Int_Tables_number 229
_symmetry_space_group_name_Hall '-I 4 2 3'
loop_
_atom_site_label
_atom_site_type_symbol
_atom_site_fract_x
_atom_site_fract_y
_atom_site_fract_z
Sr1 Sr 0.000 0.000 0.000
Al1 Al 0.000 0.250 0.500
```

No. 10
Material: SrAl
Method: DFT, PBE
State: optimized geometry

Results
As for the energy of formation: -0.03 eV per atom. Its total energy is -43.9 eV per cell.

Structure (CIF):
```
data_SrAl
_chemical_formula_sum 'Sr8 Al8'
_cell_length_a 10.913
_cell_length_b 10.913
_cell_length_c 4.050
_cell_angle_alpha 90.00
_cell_angle_beta 90.00
_cell_angle_gamma 90.00
_symmetry_space_group_name_H-M 'I 4/m m m'
_symmetry_Int_Tables_number 139
_symmetry_space_group_name_Hall '-I 4 2'
loop_
_atom_site_label
_atom_site_type_symbol
_atom_site_fract_x
_atom_site_fract_y
_atom_site_fract_z
Sr1 Sr 0.158 0.158 0.000
Al1 Al 0.000 0.371 0.500
```

No. 11
Material: SrAl3
Method: DFT, PBE
State: optimized geometry

Results
As for the energy of formation: 0.03 eV per atom. Its total energy is -51.2 eV per cell.

Structure (CIF):
```
data_SrAl3
_chemical_formula_sum 'Sr4 Al12'
_cell_length_a 4.554
_cell_length_b 4.554
_cell_length_c 17.996
_cell_angle_alpha 90.00
_cell_angle_beta 90.00
_cell_angle_gamma 90.00
_symmetry_space_group_name_H-M 'I 4/m m m'
_symmetry_Int_Tables_number 139
_symmetry_space_group_name_Hall '-I 4 2'
loop_
_atom_site_label
_atom_site_type_symbol
_atom_site_fract_x
_atom_site_fract_y
_atom_site_fract_z
Sr1 Sr 0.000 0.000 0.124
Al1 Al 0.000 0.000 0.347
Al2 Al 0.000 0.500 0.000
Al3 Al 0.000 0.500 0.250
```

No. 12
Material: Sr2Al3
Method: DFT, PBE
State: optimized geometry

Results
As for the energy of formation: -0.20 eV per atom. Its total energy is -124.6 eV per cell. Its energy above the lowest structure with this stoichiometry is 0.000 eV per atom.

Structure (CIF):
```
data_Sr2Al3
_chemical_formula_sum 'Sr16 Al24'
_cell_length_a 10.464
_cell_length_b 16.596
_cell_length_c 6.435
_cell_angle_alpha 90.00
_cell_angle_beta 90.00
_cell_angle_gamma 90.00
_symmetry_space_group_name_H-M 'F d d 2'
_symmetry_Int_Tables_number 43
_symmetry_space_group_name_Hall 'F 2 -2d'
loop_
_atom_site_label
_atom_site_type_symbol
_atom_site_fract_x
_atom_site_fract_y
_atom_site_fract_z
Sr1 Sr 0.081 0.299 0.000
Al1 Al 0.000 0.000 0.257
Al2 Al 0.079 0.375 0.498
```